## CdPdAu (GGA-PBE)

Data for CdPdAu after structural relaxation.

Geometry as POSCAR:
```
CdPdAu
1.0
-1.412 1.412 7.512
1.412 -1.412 7.512
1.412 1.412 -7.512
Cd Pd Au
1 1 1
Direct
0.000 0.000 0.000 Cd
0.823 0.823 0.000 Pd
0.185 0.185 0.000 Au
```

## Properties
- Density: 11.53 Mg/m³
- Energy relative to the lowest polymorph listed for this composition: 360 meV/atom
- Space group: I4mm

=====

## Cd3PdAu5 (GGA-PBE)

Data for Cd3PdAu5 after structural relaxation.

Geometry as POSCAR:
```
Cd3PdAu5
1.0
-4.188 4.188 5.375
4.188 -4.188 5.375
4.188 4.188 -5.375
Cd Pd Au
6 2 10
Direct
0.113 0.613 0.725 Cd
0.250 0.250 0.000 Cd
0.387 0.113 0.500 Cd
0.613 0.887 0.500 Cd
0.750 0.750 0.000 Cd
0.887 0.387 0.275 Cd
0.250 0.750 0.500 Pd
0.750 0.250 0.500 Pd
0.000 0.000 0.000 Au
0.063 0.167 0.500 Au
0.167 0.667 0.104 Au
0.333 0.437 0.500 Au
0.437 0.937 0.104 Au
0.500 0.500 0.000 Au
0.563 0.063 0.896 Au
0.667 0.563 0.500 Au
0.833 0.333 0.896 Au
0.937 0.833 0.500 Au
```

## Properties
- Density: 12.58 Mg/m³
- Space group: I4/mcm
- Uncorrected energy: -2.65 eV/atom

=====

no.,D(E_F) (states/eV/atom)
1,0.47
2,0.38